No. 1
Li4Sn2H: optimized geometry, PBE.

Unit cell a=7.766 b=7.766 c=7.766 alpha=150.42 beta=150.42 gamma=42.32
Positions (direct):
1 Li 0.000 0.500 0.500
2 Li 0.133 0.133 0.000
3 Li 0.500 0.000 0.500
4 Li 0.867 0.867 0.000
5 Sn 0.325 0.325 0.000
6 Sn 0.675 0.675 0.000
7 H 0.000 0.000 0.000

Calculated values
Magnetization in μB per formula unit: 0.000
Space group: I4/mmm, No. 139
E in eV per atom: -2.956

No. 2
Li2SnH6: optimized geometry, PBE.

Unit cell a=4.981 b=4.981 c=4.981 alpha=60.00 beta=60.00 gamma=60.00
Positions (direct):
1 Li 0.250 0.250 0.250
2 Li 0.750 0.750 0.750
3 Sn 0.000 0.000 0.000
4 H 0.267 0.267 0.733
5 H 0.267 0.733 0.267
6 H 0.267 0.733 0.733
7 H 0.733 0.267 0.267
8 H 0.733 0.267 0.733
9 H 0.733 0.733 0.267

Calculated values
Magnetization in μB per formula unit: 0.000
Space group: Fm-3m, No. 225
E in eV per atom: -2.894

No. 3
LiSnH: optimized geometry, PBE.

Unit cell a=3.203 b=3.362 c=5.307 alpha=73.61 beta=73.00 gamma=61.92
Positions (direct):
1 Li 0.000 0.000 0.000
2 Sn 0.499 0.513 0.498
3 H 0.643 0.622 0.088

Calculated values
Magnetization in μB per formula unit: 0.000
Energy relative to the lowest polymorph listed for this composition in eV per atom: 0.026
Space group: P1, No. 1

No. 4
LiSnH3: optimized geometry, PBE.

Unit cell a=3.681 b=3.681 c=3.681 alpha=90.00 beta=90.00 gamma=90.00
Positions (direct):
1 Li 0.000 0.000 0.000
2 Sn 0.500 0.500 0.500
3 H 0.000 0.000 0.500
4 H 0.000 0.500 0.000
5 H 0.500 0.000 0.000

Calculated values
Magnetization in μB per formula unit: 0.000
Energy relative to the lowest polymorph listed for this composition in eV per atom: 0.000
Space group: Pm-3m, No. 221

No. 5
LiSnH: optimized geometry, PBE.

Unit cell a=2.996 b=5.985 c=6.441 alpha=116.01 beta=101.76 gamma=94.93
Positions (direct):
1 Li 0.000 0.000 0.000
2 Li 0.479 0.479 0.954
3 Sn 0.265 0.909 0.479
4 Sn 0.766 0.409 0.475
5 H 0.061 0.707 0.069
6 H 0.461 0.111 0.881

Calculated values
Magnetization in μB per formula unit: 0.000
Energy relative to the lowest polymorph listed for this composition in eV per atom: 0.039
Space group: P1, No. 1

No. 6
LiSn2H: optimized geometry, PBE.

Unit cell a=7.278 b=7.278 c=7.278 alpha=136.45 beta=136.45 gamma=63.28
Positions (direct):
1 Li 0.000 0.000 0.000
2 Li 0.750 0.250 0.500
3 Sn 0.248 0.625 0.123
4 Sn 0.375 0.498 0.623
5 Sn 0.502 0.125 0.877
6 Sn 0.875 0.752 0.377
7 H 0.250 0.750 0.500
8 H 0.500 0.500 0.000

Calculated values
Magnetization in μB per formula unit: 0.000
Energy relative to the lowest polymorph listed for this composition in eV per atom: 0.000
Space group: I-42d, No. 122

No. 7
LiSnH: optimized geometry, PBE.

Unit cell a=3.280 b=3.280 c=11.760 alpha=94.25 beta=94.25 gamma=59.09
Positions (direct):
1 Li 0.059 0.059 0.363
2 Li 0.941 0.941 0.637
3 Sn 0.316 0.316 0.889
4 Sn 0.684 0.684 0.111
5 H 0.390 0.390 0.368
6 H 0.610 0.610 0.632

Calculated values
Magnetization in μB per formula unit: 0.000
Energy relative to the lowest polymorph listed for this composition in eV per atom: 0.016
Space group: C2/m, No. 12

No. 8
Li2SnH: optimized geometry, PBE.

Unit cell a=4.514 b=4.514 c=4.514 alpha=60.00 beta=60.00 gamma=60.00
Positions (direct):
1 Li 0.250 0.250 0.250
2 Li 0.750 0.750 0.750
3 Sn 0.000 0.000 0.000
4 H 0.500 0.500 0.500

Calculated values
Magnetization in μB per formula unit: 0.000
Energy relative to the lowest polymorph listed for this composition in eV per atom: 0.539
Space group: Fm-3m, No. 225

no.,Fermi-level density of states (states/eV/cell)
1,1.84
2,0.34
3,0.35
4,0.52
5,0.55
6,1.51
7,0.80
8,1.90